[1]
Sr4HAu2 | PBE | optimized geometry

a b c (Å): 4.9677 4.9677 17.0331
angles (deg): 90.00 90.00 90.00
With the nearest neighbours (Å) after each atom.
Space group I4/mmm (No. 139)
One atom of each set of equivalent atoms:
Sr: 0.0000 0.0000 0.1834 [4 per cell]  1 H 3.12, 1 Au 3.22
Sr: 0.0000 0.5000 0.0000 [4 per cell]  2 H 2.48
H: 0.0000 0.0000 0.0000 [2 per cell]  4 Sr 2.48
Au: 0.0000 0.0000 0.3724 [4 per cell]  5 Sr 3.22-3.30

Computed properties:
Polymorph energy (0 for the lowest one) ... 0.26 eV per formula unit

=====

[2]
Dy3Al4Ag4 | PBE | optimized geometry

a b c (Å): 3.5429 4.6234 14.3260
angles (deg): 80.71 82.90 89.98
With the nearest neighbours (Å) after each atom.
Space group P-1 (No. 2)
One atom of each set of equivalent atoms:
Dy: 0.0000 0.0000 0.0000 [1 per cell]  4 Ag 3.17, 8 Al 3.20, 2 Dy 3.54
Dy: 0.1426 0.6433 0.7140 [2 per cell]  6 Al 3.17-3.22, 6 Ag 3.21-3.22, 2 Dy 3.54
Al: 0.3124 0.8117 0.3759 [2 per cell]  5 Ag 2.64-2.72
Al: 0.4531 0.4525 0.0945 [2 per cell]  1 Al 2.65, 2 Ag 2.65-2.66
Ag: 0.2615 0.2614 0.4769 [2 per cell]  4 Al 2.71-2.72, 4 Ag 2.98-2.99
Ag: 0.4066 0.9057 0.1876 [2 per cell]  3 Al 2.64-2.66

Computed properties:
Energy of formation from the pure elements ... -364 meV/atom
Polymorph energy (0 for the lowest one) ... 0.00 eV per formula unit

=====

[3]
Nd3ScTl5 | PBE | optimized geometry

a b c (Å): 9.4578 9.4578 6.6004
angles (deg): 90.00 90.00 120.00
With the nearest neighbours (Å) after each atom.
Space group P6_3/mcm (No. 193)
One atom of each set of equivalent atoms:
Nd: 0.0000 0.3738 0.2500 [6 per cell]  9 Tl 3.19-3.41
Sc: 0.0000 0.0000 0.0000 [2 per cell]  6 Tl 3.14, 2 Sc 3.30
Tl: 0.0000 0.2825 0.7500 [6 per cell]  2 Sc 3.14, 5 Nd 3.19-3.41
Tl: 0.3333 0.6667 0.0000 [4 per cell]  2 Tl 3.30, 6 Nd 3.41

Computed properties:
Energy of formation from the pure elements ... -342 meV/atom

=====

[4]
TlCdP | PBE | optimized geometry

a b c (Å): 3.7645 3.7645 11.6098
angles (deg): 90.00 90.00 90.00
With the nearest neighbours (Å) after each atom.
Space group I4mm (No. 107)
One atom of each set of equivalent atoms:
Tl: 0.0000 0.0000 0.0000 [2 per cell]  1 P 2.95, 1 Cd 3.13
Cd: 0.0000 0.0000 0.2696 [2 per cell]  4 P 2.68
P: 0.0000 0.0000 0.7461 [2 per cell]  4 Cd 2.68, 1 Tl 2.95

Computed properties:
Energy of formation from the pure elements ... 262 meV/atom

=====

[5]
PaGa2Ir3 | PBE | optimized geometry

a b c (Å): 4.5572 12.9902 3.8889
angles (deg): 90.00 90.00 90.00
With the nearest neighbours (Å) after each atom.
Space group Pmmn (No. 59, origin choice 2)
One atom of each set of equivalent atoms:
Pa: 0.2500 0.2500 0.2490 [2 per cell]  8 Ir 2.71-3.00
Ga: 0.2500 0.5343 0.2494 [4 per cell]  4 Ir 2.45-2.65
Ir: 0.2500 0.1044 0.7492 [4 per cell]  4 Ga 2.45-2.65, 2 Pa 2.71
Ir: 0.2500 0.7500 0.2513 [2 per cell]  2 Ga 2.80, 4 Ir 2.96, 4 Pa 2.99-3.00

Computed properties:
Energy of formation from the pure elements ... -449 meV/atom

=====

[6]
Y3HfO | PBE | optimized geometry

a b c (Å): 4.8384 4.8384 4.8384
angles (deg): 90.00 90.00 90.00
With the nearest neighbours (Å) after each atom.
Space group Pm-3m (No. 221)
One atom of each set of equivalent atoms:
Y: 0.0000 0.0000 0.5000 [3 per cell]  2 O 2.42
Hf: 0.5000 0.5000 0.5000 [1 per cell]  12 Y 3.42
O: 0.0000 0.0000 0.0000 [1 per cell]  6 Y 2.42

Computed properties:
Formation energy without anion corrections ... -1032 meV per atom
Polymorph energy (0 for the lowest one) ... 0.00 eV per formula unit

=====

[7]
NdAlNiPt | PBE | optimized geometry

a b c (Å): 4.2893 4.2893 14.6612
angles (deg): 90.00 90.00 120.00
With the nearest neighbours (Å) after each atom.
Space group R3m (No. 160, hexagonal axes)
One atom of each set of equivalent atoms:
Nd: 0.0000 0.0000 0.0000 [3 per cell]  4 Ni 2.95-3.14, 4 Pt 3.01-3.11
Al: 0.0000 0.0000 0.5008 [3 per cell]  3 Ni 2.53, 3 Pt 2.54
Ni: 0.0000 0.0000 0.2013 [3 per cell]  3 Al 2.53, 3 Pt 2.70
Pt: 0.0000 0.0000 0.7949 [3 per cell]  3 Al 2.54, 3 Ni 2.70

Computed properties:
Energy of formation from the pure elements ... -817 meV/atom

=====

[8]
MnSi2Sb | PBE | optimized geometry

a b c (Å): 3.3391 2.8912 13.9323
angles (deg): 90.00 90.00 90.00
With the nearest neighbours (Å) after each atom.
Space group Amm2 (No. 38)
One atom of each set of equivalent atoms:
Mn: 0.0000 0.0000 0.0000 [2 per cell]  5 Si 2.48-2.52
Si: 0.0000 0.0000 0.8189 [2 per cell]  1 Mn 2.52, 4 Si 2.61
Si: 0.5000 0.0000 0.4183 [2 per cell]  4 Mn 2.48, 4 Si 2.61
Sb: 0.5000 0.0000 0.6297 [2 per cell]  4 Mn 2.85, 2 Sb 2.89, 3 Si 2.95-3.12

Computed properties:
Formation energy without anion corrections ... 210 meV per atom

=====

[9]
LiAsHOs | PBE | optimized geometry

a b c (Å): 3.2329 3.6020 8.2459
angles (deg): 90.00 90.00 90.00
With the nearest neighbours (Å) after each atom.
Space group Amm2 (No. 38)
One atom of each set of equivalent atoms:
Li: 0.0000 0.0000 0.0000 [2 per cell]  2 H 1.89
As: 0.5000 0.0000 0.3810 [2 per cell]  1 H 2.17
H: 0.5000 0.0000 0.1179 [2 per cell]  2 Os 1.87, 2 Li 1.89
Os: 0.5000 0.0000 0.6768 [2 per cell]  2 H 1.87

Computed properties:
Polymorph energy (0 for the lowest one) ... 0.95 eV per formula unit

=====

[10]
In12Hg3Pb5 | PBE | optimized geometry

a b c (Å): 17.5431 17.5431 17.5431
angles (deg): 90.00 90.00 90.00
With the nearest neighbours (Å) after each atom.
Space group Ia-3d (No. 230)
One atom of each set of equivalent atoms:
In: 0.0196 0.0872 0.6505 [96 per cell]  1 Hg 2.91, 2 Pb 2.97-3.07, 1 In 3.24
Hg: 0.0000 0.2500 0.1250 [24 per cell]  4 In 2.91
Pb: 0.0000 0.0000 0.0000 [16 per cell]  6 In 3.07
Pb: 0.0000 0.2500 0.3750 [24 per cell]  4 In 2.97

Computed properties:
Energy of formation from the pure elements ... 178 meV/atom

=====

[11]
NbPdAuO2 | PBE | optimized geometry

a b c (Å): 3.9684 3.9684 5.0475
angles (deg): 90.00 90.00 90.00
With the nearest neighbours (Å) after each atom.
Space group P4/mmm (No. 123)
One atom of each set of equivalent atoms:
Nb: 0.0000 0.0000 0.0000 [1 per cell]  4 Au 2.81
Pd: 0.5000 0.5000 0.5000 [1 per cell]  4 O 1.98
Au: 0.5000 0.5000 0.0000 [1 per cell]  2 Pd 2.52, 4 Nb 2.81
O: 0.0000 0.5000 0.5000 [2 per cell]  2 Pd 1.98

Computed properties:
Formation energy without anion corrections ... 523 meV per atom

=====

[12]
ReSiTe2Au | PBE | optimized geometry

a b c (Å): 5.2839 5.2839 4.6121
angles (deg): 90.00 90.00 90.00
With the nearest neighbours (Å) after each atom.
Space group P4/mmm (No. 123)
One atom of each set of equivalent atoms:
Re: 0.0000 0.0000 0.0000 [1 per cell]  2 Si 2.31
Si: 0.0000 0.0000 0.5000 [1 per cell]  2 Re 2.31
Te: 0.0000 0.5000 0.0000 [2 per cell]  2 Re 2.64
Au: 0.5000 0.5000 0.5000 [1 per cell]  8 Te 3.51, 4 Si 3.74

Computed properties:
Formation energy without anion corrections ... 751 meV per atom

=====

Question: Which formula does entry 1 have?
Answer: Sr4HAu2

=====

Question: What is the formula in the twelfth record?
Answer: ReSiTe2Au